# Ta2C (PBE-GGA, relaxed)
# symmetry	No. 162
# V	13.988	Å³/atom
# E_form	-0.5612	eV per atom
data_Ta2C
_cell_length_a 5.4310
_cell_length_b 5.4310
_cell_length_c 4.9285
_cell_angle_alpha 90.00
_cell_angle_beta 90.00
_cell_angle_gamma 120.00
_space_group_name_H-M_alt 'P 1'
_space_group_IT_number 1
loop_
_space_group_symop_operation_xyz
'x,y,z'
loop_
_atom_site_label
_atom_site_fract_x
_atom_site_fract_y
_atom_site_fract_z
Ta1 0.6626 0.0000 0.7522
Ta2 0.0000 0.6626 0.7522
Ta3 0.3374 0.0000 0.2478
Ta4 0.6626 0.6626 0.2478
Ta5 0.0000 0.3374 0.2478
Ta6 0.3374 0.3374 0.7522
C1 0.3333 0.6667 0.5000
C2 0.0000 0.0000 0.0000
C3 0.6667 0.3333 0.5000

***

# TaC (PBE-GGA, relaxed)
# symmetry	No. 70
# V	19.129	Å³/atom
# E_form	0.4024	eV per atom
# distance to the lowest polymorph of the same formula	980	meV/atom
data_TaC
_cell_length_a 9.4698
_cell_length_b 9.5495
_cell_length_c 6.7690
_cell_angle_alpha 90.00
_cell_angle_beta 90.00
_cell_angle_gamma 90.00
_space_group_name_H-M_alt 'P 1'
_space_group_IT_number 1
loop_
_space_group_symop_operation_xyz
'x,y,z'
loop_
_atom_site_label
_atom_site_fract_x
_atom_site_fract_y
_atom_site_fract_z
Ta1 0.3519 0.0000 0.5000
Ta2 0.6019 0.2500 0.2500
Ta3 0.3981 0.2500 0.7500
Ta4 0.1019 0.2500 0.7500
Ta5 0.8519 0.5000 0.5000
Ta6 0.6481 0.0000 0.5000
Ta7 0.3519 0.5000 0.0000
Ta8 0.6481 0.5000 0.0000
Ta9 0.1481 0.5000 0.5000
Ta10 0.8519 0.0000 0.0000
Ta11 0.3981 0.7500 0.2500
Ta12 0.8981 0.2500 0.2500
Ta13 0.6019 0.7500 0.7500
Ta14 0.1481 0.0000 0.0000
Ta15 0.8981 0.7500 0.7500
Ta16 0.1019 0.7500 0.2500
C1 0.2500 0.4211 0.7500
C2 0.2500 0.0789 0.7500
C3 0.2500 0.9211 0.2500
C4 0.5000 0.3289 0.0000
C5 0.7500 0.5789 0.7500
C6 0.7500 0.0789 0.2500
C7 0.7500 0.4211 0.2500
C8 0.0000 0.6711 0.5000
C9 0.5000 0.1711 0.5000
C10 0.0000 0.8289 0.0000
C11 0.7500 0.9211 0.7500
C12 0.0000 0.3289 0.5000
C13 0.0000 0.1711 0.0000
C14 0.5000 0.6711 0.0000
C15 0.5000 0.8289 0.5000
C16 0.2500 0.5789 0.2500

***

For reference, electronic total energy by record: -11.54; -10.14 eV/atom.